DFT (PBE-GGA) results for a relaxed NaCrTe3Pd crystal.

Computed properties:
Magnetization = 4.27 μB/cell
Space group = P2_1/m
Density of states at the Fermi level = 8.620 states/eV/cell
Formation energy from raw total energies = -37.01 kJ per mole of atoms
Calculated volume = 24.980 A^3/atom

a b c (Å): 3.9327 7.8797 10.1946
angles (deg): 108.40 90.00 90.00
Last column: nearest neighbours and their distance in Å.
Fractional coordinates of all 12 atoms:
Te 0.7500 0.4377 0.1253  3 Cr 2.75-2.79
Te 0.2500 0.0886 0.8762  1 Pd 2.63, 2 Cr 2.72
Te 0.2500 0.5623 0.8747  3 Cr 2.75-2.79
Te 0.7500 0.9114 0.1238  1 Pd 2.63, 2 Cr 2.72
Te 0.2500 0.7237 0.4342  3 Pd 2.69-2.76, 1 Cr 2.70
Te 0.7500 0.2763 0.5658  3 Pd 2.69-2.76, 1 Cr 2.70
Cr 0.2500 0.6935 0.1631  6 Te 2.70-2.79
Cr 0.7500 0.3065 0.8369  6 Te 2.70-2.79
Na 0.2500 0.2387 0.2978  7 Te 3.28-3.63, 2 Pd 3.46
Na 0.7500 0.7613 0.7022  7 Te 3.28-3.63, 2 Pd 3.46
Pd 0.7500 0.9301 0.3864  4 Te 2.63-2.76
Pd 0.2500 0.0699 0.6136  4 Te 2.63-2.76


DFT (PBE-GGA) results for a relaxed Sm7HgI12 crystal.

Computed properties:
Magnetization = 0.00 μB/cell
Space group = R-3
Density of states at the Fermi level = 11.216 states/eV/cell
Formation energy from raw total energies = -114.94 kJ per mole of atoms
Calculated volume = 39.583 A^3/atom

a b c (Å): 9.9464 9.9464 9.9464
angles (deg): 108.18 108.18 108.18
Last column: nearest neighbours and their distance in Å.
Fractional coordinates of all 20 atoms:
Sm 0.8835 0.9547 0.6695  1 Hg 2.95, 5 I 3.17-3.28
Sm 0.3305 0.1165 0.0453  1 Hg 2.95, 5 I 3.17-3.28
Sm 0.6695 0.8835 0.9547  1 Hg 2.95, 5 I 3.17-3.28
Sm 0.5000 0.5000 0.5000  6 I 3.16
Sm 0.9547 0.6695 0.8835  1 Hg 2.95, 5 I 3.17-3.28
Sm 0.0453 0.3305 0.1165  1 Hg 2.95, 5 I 3.17-3.28
Sm 0.1165 0.0453 0.3305  1 Hg 2.95, 5 I 3.17-3.28
I 0.2275 0.0766 0.6900  3 Sm 3.17-3.28
I 0.4773 0.1560 0.3960  3 Sm 3.16-3.18
I 0.6040 0.5227 0.8440  3 Sm 3.16-3.18
I 0.3960 0.4773 0.1560  3 Sm 3.16-3.18
I 0.8440 0.6040 0.5227  3 Sm 3.16-3.18
I 0.7725 0.9234 0.3100  3 Sm 3.17-3.28
I 0.0766 0.6900 0.2275  3 Sm 3.17-3.28
I 0.5227 0.8440 0.6040  3 Sm 3.16-3.18
I 0.3100 0.7725 0.9234  3 Sm 3.17-3.28
I 0.9234 0.3100 0.7725  3 Sm 3.17-3.28
I 0.1560 0.3960 0.4773  3 Sm 3.16-3.18
I 0.6900 0.2275 0.0766  3 Sm 3.17-3.28
Hg 0.0000 0.0000 0.0000  6 Sm 2.95


DFT (PBE-GGA) results for a relaxed NaNd3Pb5 crystal.

Computed properties:
Energy relative to the elements = -375 meV/atom
Magnetization = 0.00 μB/cell
Space group = P6_3/mcm
Density of states at the Fermi level = 10.792 states/eV/cell
Calculated volume = 30.107 A^3/atom

a b c (Å): 6.5445 9.7783 9.7783
angles (deg): 120.00 90.00 90.00
Last column: nearest neighbours and their distance in Å.
Fractional coordinates of all 18 atoms:
Pb 0.0000 0.6667 0.3333  2 Pb 3.27, 6 Nd 3.51
Pb 0.5000 0.3333 0.6667  2 Pb 3.27, 6 Nd 3.51
Pb 0.2500 0.2971 0.0000  5 Nd 3.27-3.35, 2 Na 3.33
Pb 0.5000 0.6667 0.3333  2 Pb 3.27, 6 Nd 3.51
Pb 0.7500 0.2971 0.2971  5 Nd 3.27-3.35, 2 Na 3.33
Pb 0.2500 0.0000 0.2971  5 Nd 3.27-3.35, 2 Na 3.33
Pb 0.0000 0.3333 0.6667  2 Pb 3.27, 6 Nd 3.51
Pb 0.2500 0.7029 0.7029  5 Nd 3.27-3.35, 2 Na 3.33
Pb 0.7500 0.7029 0.0000  5 Nd 3.27-3.35, 2 Na 3.33
Pb 0.7500 0.0000 0.7029  5 Nd 3.27-3.35, 2 Na 3.33
Nd 0.2500 0.3685 0.3685  9 Pb 3.27-3.51
Nd 0.7500 0.6315 0.6315  9 Pb 3.27-3.51
Nd 0.2500 0.0000 0.6315  9 Pb 3.27-3.51
Nd 0.7500 0.0000 0.3685  9 Pb 3.27-3.51
Nd 0.2500 0.6315 0.0000  9 Pb 3.27-3.51
Nd 0.7500 0.3685 0.0000  9 Pb 3.27-3.51
Na 0.5000 0.0000 0.0000  2 Na 3.27, 6 Pb 3.33
Na 0.0000 0.0000 0.0000  2 Na 3.27, 6 Pb 3.33


DFT (PBE-GGA) results for a relaxed Sn4Sb2Au crystal.

Computed properties:
Magnetization = 0.00 μB/cell
Space group = P-1
Density of states at the Fermi level = 2.321 states/eV/cell
Formation energy from raw total energies = 1.43 kJ per mole of atoms
Calculated volume = 29.695 A^3/atom

a b c (Å): 4.2587 6.8277 8.0026
angles (deg): 108.51 90.40 108.42
Last column: nearest neighbours and their distance in Å.
Fractional coordinates of all 7 atoms:
Sn 0.8778 0.7467 0.6505  1 Au 2.73, 3 Sb 2.91-2.96
Sn 0.3510 0.6964 0.0163  2 Au 2.92-2.95, 1 Sb 2.98, 1 Sn 3.25
Sn 0.6490 0.3036 0.9837  2 Au 2.92-2.95, 1 Sb 2.98, 1 Sn 3.25
Sn 0.1222 0.2533 0.3495  1 Au 2.73, 3 Sb 2.91-2.96
Sb 0.3638 0.7260 0.3967  4 Sn 2.91-2.98
Sb 0.6362 0.2740 0.6033  4 Sn 2.91-2.98
Au 0.0000 0.0000 0.0000  6 Sn 2.73-2.95


DFT (PBE-GGA) results for a relaxed HgOs2Cl crystal.

Computed properties:
Magnetization = 0.00 μB/cell
Space group = P4/mmm
Density of states at the Fermi level = 5.887 states/eV/cell
Formation energy from raw total energies = 144.32 kJ per mole of atoms
Calculated volume = 16.402 A^3/atom

a b c (Å): 2.8381 2.8381 8.1452
angles (deg): 90.00 90.00 90.00
Last column: nearest neighbours and their distance in Å.
Fractional coordinates of all 4 atoms:
Hg 0.5000 0.5000 0.7500  4 Hg 2.84, 8 Os 2.95
Os 0.0000 0.0000 0.4838  4 Cl 2.77, 4 Os 2.84, 4 Hg 2.95
Os 0.0000 0.0000 0.0162  4 Cl 2.77, 4 Os 2.84, 4 Hg 2.95
Cl 0.5000 0.5000 0.2500  8 Os 2.77, 4 Cl 2.84


DFT (PBE-GGA) results for a relaxed BaPdIO2 crystal.

Computed properties:
Magnetization = 0.00 μB/cell
Space group = P4/mmm
Density of states at the Fermi level = 4.887 states/eV/cell
Formation energy from raw total energies = -62.32 kJ per mole of atoms
Calculated volume = 21.245 A^3/atom

a b c (Å): 4.5632 4.5632 5.1015
angles (deg): 90.00 90.00 90.00
Last column: nearest neighbours and their distance in Å.
Fractional coordinates of all 5 atoms:
O 0.5000 0.0000 0.0000  2 Pd 2.28
O 0.0000 0.5000 0.0000  2 Pd 2.28
Ba 0.5000 0.5000 0.5000  4 I 3.23, 8 O 3.42
Pd 0.0000 0.0000 0.0000  4 O 2.28, 2 I 2.55
I 0.0000 0.0000 0.5000  2 Pd 2.55


DFT (PBE-GGA) results for a relaxed K3CoSn crystal.

Computed properties:
Energy relative to the elements = 760 meV/atom
Magnetization = 4.00 μB/cell
Space group = Pm-3m
Density of states at the Fermi level = 5.766 states/eV/cell
Calculated volume = 46.627 A^3/atom

a b c (Å): 6.1546 6.1546 6.1546
angles (deg): 90.00 90.00 90.00
Last column: nearest neighbours and their distance in Å.
Fractional coordinates of all 5 atoms:
Sn 0.5000 0.5000 0.5000  12 K 4.35
K 0.0000 0.0000 0.5000  2 Co 3.08
K 0.0000 0.5000 0.0000  2 Co 3.08
K 0.5000 0.0000 0.0000  2 Co 3.08
Co 0.0000 0.0000 0.0000  6 K 3.08


DFT (PBE-GGA) results for a relaxed MgIn2Cu crystal.

Computed properties:
Energy relative to the elements = 125 meV/atom
Magnetization = 0.00 μB/cell
Space group = F-43m
Density of states at the Fermi level = 2.233 states/eV/cell
Calculated volume = 21.336 A^3/atom

a b c (Å): 4.9419 4.9419 4.9419
angles (deg): 60.00 60.00 60.00
Last column: nearest neighbours and their distance in Å.
Fractional coordinates of all 4 atoms:
In 0.0000 0.0000 0.0000  4 In 3.03, 4 Mg 3.03
In 0.2500 0.2500 0.2500  4 In 3.03, 4 Cu 3.03
Mg 0.7500 0.7500 0.7500  4 Cu 3.03, 4 In 3.03
Cu 0.5000 0.5000 0.5000  4 Mg 3.03, 4 In 3.03